# Ta4Sn

A relaxed Ta4Sn crystal (PBE, the Alexandria database).

DFT total energy	-102.265	eV for the cell shown
total moment	0.00	Bohr magnetons per cell
density	14.7	g/cm³
volume	190	Å³ per cell
formation energy	5	kJ/mol of atoms

Cell: 13.686 4.764 2.950 Å, 90.00 98.79 90.00°
Space group C2/m (No. 12)
Asymmetric unit:
1 Ta 0.104 0.000 0.401 [4 per cell]
2 Ta 0.205 0.500 0.805 [4 per cell]
3 Sn 0.000 0.500 0.000 [2 per cell]

# TaSn

A relaxed TaSn crystal (PBE, the Alexandria database).

DFT total energy	-92.181	eV for the cell shown
total moment	0.00	Bohr magnetons per cell
density	12.2	g/cm³
volume	244	Å³ per cell
formation energy	24	kJ/mol of atoms

Cell: 3.001 15.990 5.092 Å, 90.00 90.00 90.00°
Space group Pmmn (No. 59, origin choice 2)
Asymmetric unit:
1 Ta 0.250 0.087 0.099 [4 per cell]
2 Ta 0.250 0.750 0.724 [2 per cell]
3 Sn 0.250 0.250 0.780 [2 per cell]
4 Sn 0.250 0.581 0.398 [4 per cell]

# Ta3Sn

A relaxed Ta3Sn crystal (PBE, the Alexandria database).

DFT total energy	-79.415	eV for the cell shown
total moment	0.00	Bohr magnetons per cell
density	14.6	g/cm³
volume	151	Å³ per cell
formation energy	-4	kJ/mol of atoms

Cell: 5.320 5.320 5.320 Å, 90.00 90.00 90.00°
Space group Pm-3n (No. 223)
Asymmetric unit:
1 Ta 0.000 0.250 0.500 [6 per cell]
2 Sn 0.000 0.000 0.000 [2 per cell]

# TaSn

A relaxed TaSn crystal (PBE, the Alexandria database).

DFT total energy	-121.724	eV for the cell shown
total moment	0.00	Bohr magnetons per cell
density	11.3	g/cm³
volume	354	Å³ per cell
formation energy	31	kJ/mol of atoms

Cell: 10.792 10.792 3.037 Å, 90.00 90.00 90.00°
Space group P4/m (No. 83)
Asymmetric unit:
1 Ta 0.055 0.180 0.000 [4 per cell]
2 Ta 0.093 0.408 0.500 [4 per cell]
3 Sn 0.159 0.703 0.500 [4 per cell]
4 Sn 0.315 0.457 0.000 [4 per cell]

# Tb6TaSn10

A relaxed Tb6TaSn10 crystal (PBE, the Alexandria database).

DFT total energy	-87.522	eV for the cell shown
total moment	0.00	Bohr magnetons per cell
density	8.6	g/cm³
volume	450	Å³ per cell
formation energy	-45	kJ/mol of atoms

Cell: 9.1701 9.1701 6.1836 Å, 90.00 90.00 120.00°
Space group P-31m (No. 162)
Asymmetric unit:
1 Tb 0.0000 0.3891 0.2579 [6 per cell]
2 Ta 0.0000 0.0000 0.5000 [1 per cell]
3 Sn 0.0000 0.2377 0.7896 [6 per cell]
4 Sn 0.3333 0.6667 0.0000 [2 per cell]
5 Sn 0.3333 0.6667 0.5000 [2 per cell]

# TaTc2Sn

A relaxed TaTc2Sn crystal (PBE, the Alexandria database).

DFT total energy	-37.311	eV for the cell shown
total moment	0.00	Bohr magnetons per cell
density	12.3	g/cm³
volume	67	Å³ per cell
formation energy	-17	kJ/mol of atoms

Cell: 3.242 3.242 6.357 Å, 90.00 90.00 90.00°
Space group P4/mmm (No. 123)
Asymmetric unit:
1 Ta 0.000 0.000 0.000 [1 per cell]
2 Tc 0.500 0.500 0.243 [2 per cell]
3 Sn 0.000 0.000 0.500 [1 per cell]

# TaTc2Sn

A relaxed TaTc2Sn crystal (PBE, the Alexandria database).

DFT total energy	-37.267	eV for the cell shown
total moment	0.00	Bohr magnetons per cell
density	12.4	g/cm³
volume	66	Å³ per cell
formation energy	-16	kJ/mol of atoms

Cell: 4.495 4.495 3.285 Å, 90.00 90.00 90.00°
Space group P4/mmm (No. 123)
Asymmetric unit:
1 Ta 0.000 0.000 0.000 [1 per cell]
2 Tc 0.000 0.500 0.500 [2 per cell]
3 Sn 0.500 0.500 0.000 [1 per cell]

# TaTc3Sn

A relaxed TaTc3Sn crystal (PBE, the Alexandria database).

DFT total energy	-39.366	eV for the cell shown
total moment	2.61	Bohr magnetons per cell
density	9.1	g/cm³
volume	108	Å³ per cell
formation energy	146	kJ/mol of atoms

Cell: 4.767 4.767 4.767 Å, 90.00 90.00 90.00°
Space group Pm-3m (No. 221)
Asymmetric unit:
1 Ta 0.000 0.000 0.000 [1 per cell]
2 Tc 0.000 0.000 0.500 [3 per cell]
3 Sn 0.500 0.500 0.500 [1 per cell]